# 1
The following is a DFT calculation (PBE) of crystalline ThMgPd at its relaxed geometry.

Space group   C2/m
ΔH_f (0 K)   -0.52 eV per atom

Cell and atoms, written as POSCAR:
```
ThMgPd
1.0
5.1826 -2.2549 0.0000
5.1826 2.2549 0.0000
-3.8925 0.0000 6.0242
Th Mg Pd
2 2 2
Cartesian
-0.5793 0.0000 1.9705 Th
7.0520 0.0000 4.0537 Th
-0.2829 0.0000 5.5445 Mg
6.7556 0.0000 0.4797 Mg
2.2843 0.0000 1.9630 Pd
4.1884 0.0000 4.0612 Pd
```

***

# 2
The following is a DFT calculation (PBE) of crystalline CrReTc2 at its relaxed geometry.

Space group   Cm
ΔH_f (0 K)   0.14 eV per atom

Cell and atoms, written as POSCAR:
```
CrReTc2
1.0
4.4828 -1.3650 0.0000
4.4828 1.3650 0.0000
-0.8240 0.0000 4.6233
Cr Re Tc
1 1 2
Cartesian
0.0000 0.0000 0.0000 Cr
1.6393 0.0000 3.4833 Re
4.0715 0.0000 2.2927 Tc
6.5006 0.0000 1.1296 Tc
```

***

# 3
The following is a DFT calculation (PBE) of crystalline YTe2Ru at its relaxed geometry.

Space group   R-3m
E above lowest polymorph   18.9 meV/atom
Raw formation energy   -0.497 eV per atom

Cell and atoms, written as POSCAR:
```
YTe2Ru
1.0
2.1523 1.2426 6.0294
-2.1523 1.2426 6.0294
0.0000 -2.4852 6.0294
Y Te Ru
1 2 1
Cartesian
0.0000 0.0000 0.0000 Y
0.0000 0.0000 4.2324 Te
0.0000 0.0000 13.8559 Te
0.0000 0.0000 9.0441 Ru
```

***

# 4
The following is a DFT calculation (PBE) of crystalline Cd2CuTe at its relaxed geometry.

Space group   P4/mmm
Raw formation energy   0.128 eV per atom

Cell and atoms, written as POSCAR:
```
Cd2CuTe
1.0
4.0187 0.0000 0.0000
0.0000 4.0187 0.0000
0.0000 0.0000 5.6485
Cd Cu Te
2 1 1
Cartesian
0.0000 0.0000 1.3542 Cd
0.0000 0.0000 4.2944 Cd
2.0094 2.0094 0.0000 Cu
2.0094 2.0094 2.8243 Te
```

***

Copy entry 4 word for word.
The following is a DFT calculation (PBE) of crystalline Cd2CuTe at its relaxed geometry.

Space group   P4/mmm
Raw formation energy   0.128 eV per atom

Cell and atoms, written as POSCAR:
```
Cd2CuTe
1.0
4.0187 0.0000 0.0000
0.0000 4.0187 0.0000
0.0000 0.0000 5.6485
Cd Cu Te
2 1 1
Cartesian
0.0000 0.0000 1.3542 Cd
0.0000 0.0000 4.2944 Cd
2.0094 2.0094 0.0000 Cu
2.0094 2.0094 2.8243 Te
```